! UVCdO6, optimized geometry, DFT PBE+U; values from VASP
&SYSTEM
  ibrav = 0, nat = 18, ntyp = 4
/
ATOMIC_SPECIES
U 238.03 U.upf
V 50.94 V.upf
Cd 112.41 Cd.upf
O 16.00 O.upf
CELL_PARAMETERS angstrom
5.4281 0.0000 0.0000
-2.7141 4.7009 0.0000
0.0000 0.0000 9.5223
ATOMIC_POSITIONS crystal
U 0.3333 0.6667 0.2500
U 0.6667 0.3333 0.7500
V 0.3333 0.6667 0.7500
V 0.6667 0.3333 0.2500
Cd 0.0000 0.0000 0.0000
Cd 0.0000 0.0000 0.5000
O 0.0164 0.3693 0.6405
O 0.0164 0.6470 0.8595
O 0.3530 0.3693 0.8595
O 0.3530 0.9836 0.6405
O 0.3693 0.0164 0.1405
O 0.3693 0.3530 0.3595
O 0.6307 0.6470 0.6405
O 0.6307 0.9836 0.8595
O 0.6470 0.0164 0.3595
O 0.6470 0.6307 0.1405
O 0.9836 0.3530 0.1405
O 0.9836 0.6307 0.3595
! Calculated volume   243.0 Å³/cell
! SG   No. 163
! Raw total energy   -69.797 eV/f.u.